Entry 1:
The following is a DFT calculation (PBE with a Hubbard U) of crystalline TlVInO4 at its relaxed geometry.

Cell: 6.1928 5.8710 7.4182 Å, 90.00 100.72 90.00°
Each line ends with the local moment (μB).
Fractional positions:
Tl1 0.7472 0.7500 0.9028  0.00
Tl2 0.2528 0.2500 0.0972  0.00
V1 0.3511 0.7500 0.4011  1.01
V2 0.6489 0.2500 0.5989  1.01
In1 0.8667 0.7500 0.4361  0.03
In2 0.1333 0.2500 0.5639  0.03
O1 0.8793 0.4781 0.6410  -0.01
O2 0.1207 0.9781 0.3590  -0.01
O3 0.1207 0.5219 0.3590  -0.01
O4 0.8793 0.0219 0.6410  -0.01
O5 0.5571 0.7500 0.2569  -0.03
O6 0.4429 0.2500 0.7431  -0.03
O7 0.4512 0.7500 0.6301  -0.06
O8 0.5488 0.2500 0.3699  -0.06

Properties
DFT total energy in eV/atom: -6.058
Symmetry: P2_1/m
Total magnetization in μB/f.u.: 1.00



Entry 2:
The following is a DFT calculation (PBE with a Hubbard U) of crystalline TlV2InO8 at its relaxed geometry.

Cell: 5.9169 5.9169 5.9169 Å, 107.70 107.70 113.08°
Fractional positions:
Tl1 0.2500 0.7500 0.5000
V1 0.7500 0.2500 0.5000
V2 0.5000 0.5000 0.0000
In1 0.0000 0.0000 0.0000
O1 0.3880 0.0856 0.3023
O2 0.3275 0.5177 0.1903
O3 0.3275 0.1372 0.8097
O4 0.7833 0.0856 0.6977
O5 0.8628 0.6725 0.1903
O6 0.9144 0.2167 0.3023
O7 0.9144 0.6120 0.6977
O8 0.4823 0.6725 0.8097

Properties
DFT total energy in eV/atom: -6.440
Symmetry: I-4m2
Total magnetization in μB/f.u.: 0.00